[1]
The following is a DFT calculation (PBE) of a relaxed Mg2MnPt crystal. Values from VASP.

Results
Size of the total moment, μB per formula unit: 3.907
Energy of formation, eV/f.u.: -0.87
Crystal system: monoclinic
Density, g/cm³: 7.39

Cell and atoms, written as Quantum ESPRESSO input:
```
&SYSTEM
  ibrav = 0, nat = 4, ntyp = 3
/
ATOMIC_SPECIES
Mg 24.30 Mg.upf
Mn 54.94 Mn.upf
Pt 195.08 Pt.upf
CELL_PARAMETERS angstrom
-2.874 3.954 0.071
-4.624 1.568 -0.237
-1.139 0.215 4.803
ATOMIC_POSITIONS crystal
Mg 0.992 0.992 0.009
Mn 0.750 0.750 0.750
Pt 0.250 0.250 0.250
Mg 0.508 0.508 0.491
```

[2]
The following is a DFT calculation (PBE) of a relaxed MgMnPt2 crystal. Values from VASP.

Results
Size of the total moment, μB per formula unit: 4.310
Energy of formation, eV/f.u.: -1.87
Crystal system: orthorhombic
Density, g/cm³: 12.34

Cell and atoms, written as Quantum ESPRESSO input:
```
&SYSTEM
  ibrav = 0, nat = 4, ntyp = 3
/
ATOMIC_SPECIES
Mg 24.30 Mg.upf
Pt 195.08 Pt.upf
Mn 54.94 Mn.upf
CELL_PARAMETERS angstrom
-2.149 -1.341 1.310
2.413 -0.756 3.185
-1.541 4.701 2.283
ATOMIC_POSITIONS crystal
Mg 0.000 0.000 0.475
Pt 0.500 0.500 0.279
Pt 0.000 0.000 0.967
Mn 0.500 0.500 0.778
```

[3]
The following is a DFT calculation (PBE) of a relaxed MgMnPt2 crystal. Values from VASP.

Results
Size of the total moment, μB per formula unit: 3.998
Energy of formation, eV/f.u.: -1.58
Crystal system: trigonal
Density, g/cm³: 12.45

Cell and atoms, written as Quantum ESPRESSO input:
```
&SYSTEM
  ibrav = 0, nat = 4, ntyp = 3
/
ATOMIC_SPECIES
Pt 195.08 Pt.upf
Mn 54.94 Mn.upf
Mg 24.30 Mg.upf
CELL_PARAMETERS angstrom
8.822 -0.041 -0.024
8.363 2.810 -0.024
8.363 1.347 2.466
ATOMIC_POSITIONS crystal
Pt 0.002 0.002 0.002
Mn 0.750 0.750 0.750
Mg 0.250 0.250 0.250
Pt 0.498 0.498 0.498
```

[4]
The following is a DFT calculation (PBE) of a relaxed Mg2MnPt crystal. Values from VASP.

Results
Size of the total moment, μB per formula unit: 3.401
Energy of formation, eV/f.u.: -1.05
Crystal system: orthorhombic
Density, g/cm³: 7.61

Cell and atoms, written as Quantum ESPRESSO input:
```
&SYSTEM
  ibrav = 0, nat = 4, ntyp = 3
/
ATOMIC_SPECIES
Mn 54.94 Mn.upf
Mg 24.30 Mg.upf
Pt 195.08 Pt.upf
CELL_PARAMETERS angstrom
4.764 0.037 0.001
-1.273 4.591 0.001
0.000 0.000 2.975
ATOMIC_POSITIONS crystal
Mn 0.500 0.000 0.500
Mg 0.000 0.000 0.000
Mg 0.500 0.500 0.000
Pt 0.000 0.500 0.500
```

[5]
The following is a DFT calculation (PBE) of a relaxed MgMn4Pt crystal. Values from VASP.

Results
Size of the total moment, μB per formula unit: 5.204
Energy of formation, eV/f.u.: 0.51
Crystal system: cubic
Density, g/cm³: 9.39

Cell and atoms, written as Quantum ESPRESSO input:
```
&SYSTEM
  ibrav = 0, nat = 6, ntyp = 3
/
ATOMIC_SPECIES
Mn 54.94 Mn.upf
Pt 195.08 Pt.upf
Mg 24.30 Mg.upf
CELL_PARAMETERS angstrom
-2.780 -2.593 -2.912
-4.145 1.801 -1.584
-0.467 1.246 -4.600
ATOMIC_POSITIONS crystal
Mn 0.124 0.625 0.625
Pt 0.250 0.250 0.250
Mg 0.000 0.000 0.000
Mn 0.625 0.625 0.625
Mn 0.625 0.625 0.124
Mn 0.625 0.124 0.625
```

[6]
The following is a DFT calculation (PBE) of a relaxed MgMnPt2 crystal. Values from VASP.

Results
Size of the total moment, μB per formula unit: 4.226
Energy of formation, eV/f.u.: -2.50
Crystal system: monoclinic
Density, g/cm³: 12.70

Cell and atoms, written as Quantum ESPRESSO input:
```
&SYSTEM
  ibrav = 0, nat = 4, ntyp = 3
/
ATOMIC_SPECIES
Pt 195.08 Pt.upf
Mn 54.94 Mn.upf
Mg 24.30 Mg.upf
CELL_PARAMETERS angstrom
-6.562 -0.787 -0.011
2.733 -0.644 -3.593
-1.021 -2.798 -0.281
ATOMIC_POSITIONS crystal
Pt 0.500 0.000 0.500
Mn 0.500 0.500 0.000
Pt 0.000 0.000 0.000
Mg 0.000 0.500 0.500
```